Record 1
Material: CsPb2
Method: DFT, PBE
State: optimized geometry

The space group is Fd-3m (No. 227, origin choice 2) and the conventional cell measures 9.8249, 9.8249 and 9.8249 Å, with angles of 90.00, 90.00 and 90.00 degrees. The asymmetric unit holds Cs at (0.1250, 0.1250, 0.1250) and Pb at (0.0000, 0.0000, 0.5000).

For the formation energy, the calculation gives -0.09 eV/atom. The value obtained for the magnetization is 0.0 Bohr magnetons per cell. As for the total energy: -2.846 eV/atom.

Record 2
Material: Ca2Sm4Er
Method: DFT, PBE
State: optimized geometry

The space group is Immm (No. 71) and the conventional cell measures 3.5722, 5.8808 and 23.6110 Å, with angles of 90.00, 90.00 and 90.00 degrees. The asymmetric unit holds Ca at (0.0000, 0.0000, 0.2208), Sm at (0.0000, 0.5000, 0.1287), Sm at (0.0000, 0.5000, 0.4203) and Er at (0.0000, 0.0000, 0.5000).

For the formation energy, the calculation gives 0.14 eV/atom. The energy above the lowest structure with this stoichiometry comes out at 0.000 eV per atom. The value obtained for the magnetization is 0.0 Bohr magnetons per cell. As for the total energy: -3.785 eV/atom.

Record 3
Material: HoPu3Pd12
Method: DFT, PBE
State: optimized geometry

The space group is P4/mmm (No. 123) and the conventional cell measures 4.1345, 4.1345 and 16.5910 Å, with angles of 90.00, 90.00 and 90.00 degrees. The asymmetric unit holds Ho at (0.0000, 0.0000, 0.0000), Pu at (0.0000, 0.0000, 0.2474), Pu at (0.0000, 0.0000, 0.5000), Pd at (0.0000, 0.5000, 0.1242), Pd at (0.0000, 0.5000, 0.3739), Pd at (0.5000, 0.5000, 0.0000), Pd at (0.5000, 0.5000, 0.2488) and Pd at (0.5000, 0.5000, 0.5000).

For the formation energy, the calculation gives -0.64 eV/atom. The value obtained for the magnetization is 4.3 Bohr magnetons per cell. As for the total energy: -7.510 eV/atom.

- Which formula does entry 1 have?
  CsPb2